1.
PBE PrSnPt, optimized geometry; formation energy = -1.034 eV per atom; DFT total energy = -5.975 eV per atom; total magnetization = 0.00 μB/atom
1.0
-0.332 2.851 -3.691
-3.320 -5.488 -3.940
-7.259 2.524 2.602
Pr Sn Pt
4 4 4
Direct
0.750 0.986 0.694
0.750 0.486 0.806
0.250 0.514 0.194
0.250 0.014 0.306
0.250 0.176 0.917
0.750 0.324 0.417
0.250 0.676 0.583
0.750 0.824 0.083
0.250 0.291 0.592
0.750 0.709 0.408
0.750 0.209 0.092
0.250 0.791 0.908

2.
PBE Zr2Nb, optimized geometry; formation energy = 0.077 eV per atom; DFT total energy = -8.978 eV per atom; total magnetization = 0.00 μB/atom
1.0
6.133 0.000 0.008
0.000 4.884 0.000
-6.120 0.000 8.504
Nb Zr
4 8
Direct
0.129 0.500 0.321
0.871 0.000 0.179
0.871 0.500 0.679
0.129 0.000 0.821
0.651 0.000 0.844
0.000 0.500 0.000
0.500 0.000 0.500
0.349 0.000 0.156
0.000 0.000 0.500
0.349 0.500 0.656
0.651 0.500 0.344
0.500 0.500 0.000

3.
PBE TaBeAs2, optimized geometry; formation energy = -0.019 eV per atom; DFT total energy = -6.238 eV per atom; total magnetization = 0.00 μB/atom
1.0
-1.950 6.065 -2.317
-3.340 3.845 -4.473
-4.845 4.496 -1.503
As Ta Be
2 1 1
Direct
0.510 0.510 0.510
0.990 0.990 0.990
0.750 0.750 0.750
0.250 0.250 0.250

4.
PBE RbTmZnCl6, optimized geometry; DFT total energy = -3.814 eV per atom; total magnetization = 0.00 μB/atom
1.0
-1.091 -4.092 5.173
5.163 -2.779 3.211
0.235 5.748 4.597
Rb Cl Zn Tm
1 6 1 1
Direct
0.000 0.000 0.000
0.013 0.370 0.301
0.370 0.013 0.699
0.617 0.013 0.301
0.617 0.370 0.699
0.013 0.617 0.699
0.370 0.617 0.301
0.333 0.333 0.500
0.667 0.667 0.500

5.
PBE TaFe2Rh2, optimized geometry; formation energy = -0.034 eV per atom; DFT total energy = -8.730 eV per atom; total magnetization = 0.80 μB/atom
1.0
-0.357 7.081 -0.341
-6.969 -0.288 1.317
0.506 0.156 2.709
Ta Fe Rh
2 4 4
Direct
0.500 0.500 0.000
0.000 0.000 0.000
0.619 0.119 0.000
0.881 0.619 0.000
0.381 0.881 0.000
0.119 0.381 0.000
0.677 0.823 0.500
0.177 0.677 0.500
0.823 0.323 0.500
0.323 0.177 0.500

6.
PBE NaNi2Ir, optimized geometry; formation energy = 0.472 eV per atom; DFT total energy = -4.963 eV per atom; total magnetization = 0.50 μB/atom
1.0
0.000 3.016 3.016
3.016 0.000 3.016
3.016 3.016 0.000
Ir Na Ni
1 1 2
Direct
0.500 0.500 0.500
0.000 0.000 0.000
0.250 0.250 0.250
0.750 0.750 0.750

7.
PBE CeTlCd2, optimized geometry; formation energy = -0.193 eV per atom; DFT total energy = -2.725 eV per atom; total magnetization = 0.26 μB/atom
1.0
5.243 0.000 0.000
0.000 5.243 0.000
0.000 0.000 7.488
Cd Ce Tl
4 2 2
Direct
0.500 0.000 0.273
0.000 0.000 0.500
0.000 0.500 0.727
0.500 0.500 0.500
0.500 0.000 0.750
0.000 0.500 0.250
0.000 0.000 0.000
0.500 0.500 0.000

8.
PBE Zr2TlW, optimized geometry; formation energy = 0.103 eV per atom; DFT total energy = -8.001 eV per atom; total magnetization = 0.00 μB/atom
1.0
3.091 -0.004 0.000
-0.987 2.929 0.000
0.000 0.000 9.419
Zr W Tl
2 1 1
Direct
0.000 0.000 0.525
0.000 0.000 0.975
0.500 0.500 0.750
0.500 0.500 0.250

9.
PBE MgAg2Cl, optimized geometry; DFT total energy = -2.534 eV per atom; total magnetization = 0.00 μB/atom
1.0
5.754 -0.010 0.021
1.802 5.465 -0.021
-2.659 -4.277 2.783
Ag Cl Mg
2 1 1
Direct
0.754 0.254 0.500
0.015 0.015 0.000
0.464 0.464 0.000
0.267 0.767 0.500

What is the formula in the ninth record? MgAg2Cl

Repeat the ninth record exactly.
PBE MgAg2Cl, optimized geometry; DFT total energy = -2.534 eV per atom; total magnetization = 0.00 μB/atom
1.0
5.754 -0.010 0.021
1.802 5.465 -0.021
-2.659 -4.277 2.783
Ag Cl Mg
2 1 1
Direct
0.754 0.254 0.500
0.015 0.015 0.000
0.464 0.464 0.000
0.267 0.767 0.500